i) # AlAg2Sb PBE-GGA optimized geometry
data_AlAg2Sb
_chemical_formula_sum 'Al1 Ag2 Sb1'
_cell_length_a 8.829
_cell_length_b 8.829
_cell_length_c 8.829
_cell_angle_alpha 21.67
_cell_angle_beta 21.67
_cell_angle_gamma 21.67
_space_group_name_H-M_alt 'P 1'
_space_group_IT_number 1
_space_group_name_Hall 'P 1'
loop_
_atom_site_label
_atom_site_type_symbol
_atom_site_fract_x
_atom_site_fract_y
_atom_site_fract_z
Al1 Al 0.000 0.000 0.000
Ag1 Ag 0.258 0.258 0.258
Ag2 Ag 0.742 0.742 0.742
Sb1 Sb 0.500 0.500 0.500
# Space-group type: R-3m, No. 166
# V (Å³/atom): 20.561

=====

ii) # AlAg2Sb PBE-GGA optimized geometry
data_AlAg2Sb
_chemical_formula_sum 'Al1 Ag2 Sb1'
_cell_length_a 4.885
_cell_length_b 4.885
_cell_length_c 4.885
_cell_angle_alpha 60.00
_cell_angle_beta 60.00
_cell_angle_gamma 60.00
_space_group_name_H-M_alt 'P 1'
_space_group_IT_number 1
_space_group_name_Hall 'P 1'
loop_
_atom_site_label
_atom_site_type_symbol
_atom_site_fract_x
_atom_site_fract_y
_atom_site_fract_z
Al1 Al 0.000 0.000 0.000
Ag1 Ag 0.500 0.500 0.500
Ag2 Ag 0.750 0.750 0.750
Sb1 Sb 0.250 0.250 0.250
# Space-group type: F-43m, No. 216
# V (Å³/atom): 20.609

=====

iii) # AlAg2Sb PBE-GGA optimized geometry
data_AlAg2Sb
_chemical_formula_sum 'Al1 Ag2 Sb1'
_cell_length_a 4.242
_cell_length_b 4.242
_cell_length_c 4.497
_cell_angle_alpha 90.00
_cell_angle_beta 90.00
_cell_angle_gamma 90.00
_space_group_name_H-M_alt 'P 1'
_space_group_IT_number 1
_space_group_name_Hall 'P 1'
loop_
_atom_site_label
_atom_site_type_symbol
_atom_site_fract_x
_atom_site_fract_y
_atom_site_fract_z
Al1 Al 0.000 0.000 0.000
Ag1 Ag 0.000 0.500 0.500
Ag2 Ag 0.500 0.000 0.500
Sb1 Sb 0.500 0.500 0.000
# Space-group type: P4/mmm, No. 123
# V (Å³/atom): 20.234

=====

Energy relative to the most stable one, in kJ/mol of atoms: i) 0.0; ii) 9.2; iii) 1.5

=====

i) # Al2AgSb2 PBE-GGA optimized geometry
data_Al2AgSb2
_chemical_formula_sum 'Al2 Ag1 Sb2'
_cell_length_a 7.830
_cell_length_b 7.830
_cell_length_c 7.830
_cell_angle_alpha 149.58
_cell_angle_beta 149.58
_cell_angle_gamma 43.56
_space_group_name_H-M_alt 'P 1'
_space_group_IT_number 1
_space_group_name_Hall 'P 1'
loop_
_atom_site_label
_atom_site_type_symbol
_atom_site_fract_x
_atom_site_fract_y
_atom_site_fract_z
Al1 Al 0.250 0.750 0.500
Al2 Al 0.750 0.250 0.500
Ag1 Ag 0.000 0.000 0.000
Sb1 Sb 0.383 0.383 0.000
Sb2 Sb 0.617 0.617 0.000
# Space-group type: I4/mmm, No. 139
# V (Å³/atom): 24.548

=====

ii) # Al2AgSb2 PBE-GGA optimized geometry
data_Al2AgSb2
_chemical_formula_sum 'Al4 Ag2 Sb4'
_cell_length_a 7.184
_cell_length_b 7.184
_cell_length_c 4.299
_cell_angle_alpha 90.00
_cell_angle_beta 90.00
_cell_angle_gamma 90.00
_space_group_name_H-M_alt 'P 1'
_space_group_IT_number 1
_space_group_name_Hall 'P 1'
loop_
_atom_site_label
_atom_site_type_symbol
_atom_site_fract_x
_atom_site_fract_y
_atom_site_fract_z
Al1 Al 0.130 0.370 0.000
Al2 Al 0.370 0.870 0.000
Al3 Al 0.630 0.130 0.000
Al4 Al 0.870 0.630 0.000
Ag1 Ag 0.000 0.000 0.000
Ag2 Ag 0.500 0.500 0.000
Sb1 Sb 0.192 0.692 0.500
Sb2 Sb 0.308 0.192 0.500
Sb3 Sb 0.692 0.808 0.500
Sb4 Sb 0.808 0.308 0.500
# Space-group type: P4/mbm, No. 127
# V (Å³/atom): 22.187

=====

Energy relative to the most stable one, in kJ/mol of atoms: i) 3.1; ii) 0.0

=====

i) # AlAgSbTe2 PBE-GGA optimized geometry
data_AlAgSbTe2
_chemical_formula_sum 'Al1 Ag1 Sb1 Te2'
_cell_length_a 5.586
_cell_length_b 5.586
_cell_length_c 5.242
_cell_angle_alpha 90.00
_cell_angle_beta 90.00
_cell_angle_gamma 90.00
_space_group_name_H-M_alt 'P 1'
_space_group_IT_number 1
_space_group_name_Hall 'P 1'
loop_
_atom_site_label
_atom_site_type_symbol
_atom_site_fract_x
_atom_site_fract_y
_atom_site_fract_z
Al1 Al 0.000 0.000 0.000
Ag1 Ag 0.500 0.500 0.500
Sb1 Sb 0.500 0.500 0.000
Te1 Te 0.000 0.500 0.500
Te2 Te 0.500 0.000 0.500
# Space-group type: P4/mmm, No. 123
# V (Å³/atom): 32.714

=====

ii) # AlAgSbTe2 PBE-GGA optimized geometry
data_AlAgSbTe2
_chemical_formula_sum 'Al1 Ag1 Sb1 Te2'
_cell_length_a 5.413
_cell_length_b 5.413
_cell_length_c 5.193
_cell_angle_alpha 90.00
_cell_angle_beta 90.00
_cell_angle_gamma 90.00
_space_group_name_H-M_alt 'P 1'
_space_group_IT_number 1
_space_group_name_Hall 'P 1'
loop_
_atom_site_label
_atom_site_type_symbol
_atom_site_fract_x
_atom_site_fract_y
_atom_site_fract_z
Al1 Al 0.000 0.000 0.000
Ag1 Ag 0.500 0.500 0.500
Sb1 Sb 0.000 0.000 0.500
Te1 Te 0.000 0.500 0.000
Te2 Te 0.500 0.000 0.000
# Space-group type: P4/mmm, No. 123
# V (Å³/atom): 30.429

=====

Energy relative to the most stable one, in kJ/mol of atoms: i) 13.5; ii) 0.0

=====

i) # ScAl2Ag2 PBE-GGA optimized geometry
data_ScAl2Ag2
_chemical_formula_sum 'Sc2 Al4 Ag4'
_cell_length_a 7.907
_cell_length_b 7.907
_cell_length_c 2.899
_cell_angle_alpha 90.00
_cell_angle_beta 90.00
_cell_angle_gamma 90.00
_space_group_name_H-M_alt 'P 1'
_space_group_IT_number 1
_space_group_name_Hall 'P 1'
loop_
_atom_site_label
_atom_site_type_symbol
_atom_site_fract_x
_atom_site_fract_y
_atom_site_fract_z
Sc1 Sc 0.000 0.000 0.000
Sc2 Sc 0.500 0.500 0.000
Al1 Al 0.169 0.331 0.500
Al2 Al 0.331 0.831 0.500
Al3 Al 0.669 0.169 0.500
Al4 Al 0.831 0.669 0.500
Ag1 Ag 0.129 0.629 0.000
Ag2 Ag 0.371 0.129 0.000
Ag3 Ag 0.629 0.871 0.000
Ag4 Ag 0.871 0.371 0.000
# Space-group type: P4/mbm, No. 127
# V (Å³/atom): 18.127

=====

ii) # ScAl2Ag2 PBE-GGA optimized geometry
data_ScAl2Ag2
_chemical_formula_sum 'Sc1 Al2 Ag2'
_cell_length_a 6.480
_cell_length_b 6.480
_cell_length_c 6.480
_cell_angle_alpha 143.49
_cell_angle_beta 143.49
_cell_angle_gamma 52.58
_space_group_name_H-M_alt 'P 1'
_space_group_IT_number 1
_space_group_name_Hall 'P 1'
loop_
_atom_site_label
_atom_site_type_symbol
_atom_site_fract_x
_atom_site_fract_y
_atom_site_fract_z
Sc1 Sc 0.000 0.000 0.000
Al1 Al 0.394 0.394 0.000
Al2 Al 0.606 0.606 0.000
Ag1 Ag 0.250 0.750 0.500
Ag2 Ag 0.750 0.250 0.500
# Space-group type: I4/mmm, No. 139
# V (Å³/atom): 19.142

=====

iii) # ScAl2Ag2 PBE-GGA optimized geometry
data_ScAl2Ag2
_chemical_formula_sum 'Sc2 Al4 Ag4'
_cell_length_a 7.848
_cell_length_b 7.848
_cell_length_c 2.929
_cell_angle_alpha 90.00
_cell_angle_beta 90.00
_cell_angle_gamma 90.00
_space_group_name_H-M_alt 'P 1'
_space_group_IT_number 1
_space_group_name_Hall 'P 1'
loop_
_atom_site_label
_atom_site_type_symbol
_atom_site_fract_x
_atom_site_fract_y
_atom_site_fract_z
Sc1 Sc 0.000 0.000 0.000
Sc2 Sc 0.500 0.500 0.000
Al1 Al 0.130 0.370 0.000
Al2 Al 0.370 0.870 0.000
Al3 Al 0.630 0.130 0.000
Al4 Al 0.870 0.630 0.000
Ag1 Ag 0.168 0.668 0.500
Ag2 Ag 0.332 0.168 0.500
Ag3 Ag 0.668 0.832 0.500
Ag4 Ag 0.832 0.332 0.500
# Space-group type: P4/mbm, No. 127
# V (Å³/atom): 18.042

=====

Energy relative to the most stable one, in kJ/mol of atoms: i) 4.2; ii) 0.0; iii) 5.6

=====

i) # ScAl3Ag PBE-GGA optimized geometry
data_ScAl3Ag
_chemical_formula_sum 'Sc1 Al3 Ag1'
_cell_length_a 4.819
_cell_length_b 4.819
_cell_length_c 4.819
_cell_angle_alpha 90.00
_cell_angle_beta 90.00
_cell_angle_gamma 90.00
_space_group_name_H-M_alt 'P 1'
_space_group_IT_number 1
_space_group_name_Hall 'P 1'
loop_
_atom_site_label
_atom_site_type_symbol
_atom_site_fract_x
_atom_site_fract_y
_atom_site_fract_z
Sc1 Sc 0.000 0.000 0.000
Al1 Al 0.000 0.500 0.500
Al2 Al 0.500 0.000 0.500
Al3 Al 0.500 0.500 0.000
Ag1 Ag 0.500 0.500 0.500
# Space-group type: Pm-3m, No. 221
# V (Å³/atom): 22.382

=====

ii) # ScAl3Ag PBE-GGA optimized geometry
data_ScAl3Ag
_chemical_formula_sum 'Sc1 Al3 Ag1'
_cell_length_a 5.209
_cell_length_b 5.209
_cell_length_c 5.209
_cell_angle_alpha 90.00
_cell_angle_beta 90.00
_cell_angle_gamma 90.00
_space_group_name_H-M_alt 'P 1'
_space_group_IT_number 1
_space_group_name_Hall 'P 1'
loop_
_atom_site_label
_atom_site_type_symbol
_atom_site_fract_x
_atom_site_fract_y
_atom_site_fract_z
Sc1 Sc 0.000 0.000 0.000
Al1 Al 0.000 0.000 0.500
Al2 Al 0.000 0.500 0.000
Al3 Al 0.500 0.000 0.000
Ag1 Ag 0.500 0.500 0.500
# Space-group type: Pm-3m, No. 221
# V (Å³/atom): 28.264

=====

Energy relative to the most stable one, in kJ/mol of atoms: i) 0.0; ii) 61.1

=====

i) # Sc4AlAg PBE-GGA optimized geometry
data_Sc4AlAg
_chemical_formula_sum 'Sc4 Al1 Ag1'
_cell_length_a 8.230
_cell_length_b 8.230
_cell_length_c 8.230
_cell_angle_alpha 33.18
_cell_angle_beta 33.18
_cell_angle_gamma 33.18
_space_group_name_H-M_alt 'P 1'
_space_group_IT_number 1
_space_group_name_Hall 'P 1'
loop_
_atom_site_label
_atom_site_type_symbol
_atom_site_fract_x
_atom_site_fract_y
_atom_site_fract_z
Sc1 Sc 0.124 0.124 0.124
Sc2 Sc 0.375 0.375 0.375
Sc3 Sc 0.625 0.625 0.625
Sc4 Sc 0.876 0.876 0.876
Al1 Al 0.500 0.500 0.500
Ag1 Ag 0.000 0.000 0.000
# Space-group type: R-3m, No. 166
# V (Å³/atom): 24.774

=====

ii) # Sc4AlAg PBE-GGA optimized geometry
data_Sc4AlAg
_chemical_formula_sum 'Sc4 Al1 Ag1'
_cell_length_a 6.427
_cell_length_b 6.427
_cell_length_c 6.577
_cell_angle_alpha 104.79
_cell_angle_beta 104.79
_cell_angle_gamma 29.66
_space_group_name_H-M_alt 'P 1'
_space_group_IT_number 1
_space_group_name_Hall 'P 1'
loop_
_atom_site_label
_atom_site_type_symbol
_atom_site_fract_x
_atom_site_fract_y
_atom_site_fract_z
Sc1 Sc 0.155 0.155 0.326
Sc2 Sc 0.156 0.156 0.830
Sc3 Sc 0.844 0.844 0.170
Sc4 Sc 0.845 0.845 0.674
Al1 Al 0.500 0.500 0.000
Ag1 Ag 0.500 0.500 0.500
# Space-group type: C2/m, No. 12
# V (Å³/atom): 21.610

=====

Energy relative to the most stable one, in kJ/mol of atoms: i) 25.1; ii) 0.0